DFT (GGA-PBE) results for DyHoGaFe after structural relaxation.

Lattice parameters (Å, degrees): 4.923 4.923 4.923 60.00 60.00 60.00
Atoms (fractional coordinates):
Dy  0.000  0.000  0.000
Ho  0.500  0.500  0.500
Ga  0.250  0.250  0.250
Fe  0.750  0.750  0.750

* formation energy: -0.188 eV per atom
* electronic total energy: -5.36 eV per atom
* space group: No. 216